Computed, not measured: crystalline FeO at its relaxed geometry at the GGA+U level of DFT.

CIF file:
```
data_FeO
_symmetry_space_group_name_H-M 'P 63 m c'
_symmetry_Int_Tables_number 186
_symmetry_space_group_name_Hall 'P 6c -2c'
_cell_length_a 3.2397
_cell_length_b 3.2397
_cell_length_c 5.6099
_cell_angle_alpha 90.00
_cell_angle_beta 90.00
_cell_angle_gamma 120.00
loop_
_atom_site_label
_atom_site_type_symbol
_atom_site_fract_x
_atom_site_fract_y
_atom_site_fract_z
Fe1 Fe 0.3333 0.6667 0.0000
O1 O 0.3333 0.6667 0.6344
```

Properties
Total DFT energy (no corrections): -6.253 eV/atom
Density of states at the Fermi level: 2.84 states/eV per cell